## PuPa2Bi4 (PBE)

Data for PuPa2Bi4 after structural relaxation.

Geometry as POSCAR:
```
PuPa2Bi4
1.0
10.270 0.000 0.000
5.135 6.696 -1.319
5.135 0.932 6.761
Bi Pa Pu
8 4 2
direct
0.602 0.831 0.331
0.177 0.758 0.888
0.823 0.612 0.742
0.235 0.831 0.331
0.398 0.169 0.669
0.177 0.388 0.258
0.823 0.242 0.112
0.765 0.169 0.669
0.117 0.133 0.633
0.883 0.867 0.367
0.500 0.500 0.500
0.500 0.000 0.000
0.000 0.500 0.000
0.500 0.500 0.000
```

Values from the calculation:
Formation enthalpy at 0 K, eV/atom: -0.0286